Here is LiAcMnF6 after structural relaxation from the Alexandria database. Energies are from GGA+U.

Values from the calculation:
- volume (A^3/atom) = 15.16
- raw total energy (eV per atom) = -6.131
- symmetry = P312, No. 149

a = 5.4245 Å, b = 5.4245 Å, c = 5.3528 Å
α = 90.00°, β = 90.00°, γ = 120.00°
Closest atoms and distances in Å follow each position.
Fractional positions:
Li: 0.0000 0.0000 0.0000  6 F 2.09
Ac: 0.3333 0.6667 0.5000  6 F 2.45
Mn: 0.6667 0.3333 0.0000  6 F 2.13
F: 0.3272 0.0217 0.2221  1 Li 2.09, 1 Mn 2.13
F: 0.3272 0.3055 0.7779  1 Li 2.09, 1 Mn 2.13
F: 0.6945 0.0217 0.7779  1 Li 2.09, 1 Mn 2.13
F: 0.6945 0.6728 0.2221  1 Li 2.09, 1 Mn 2.13
F: 0.9783 0.3055 0.2221  1 Li 2.09, 1 Mn 2.13
F: 0.9783 0.6728 0.7779  1 Li 2.09, 1 Mn 2.13